Pm7HoTm4 | PBE-GGA | relaxed

Computed properties:
E_form ... 3 meV per atom
Polymorph energy (0 for the lowest one) ... 0.0 kJ per mole of atoms

Cell: 7.225 6.268 11.464 Å, 79.55 50.96 90.05°
Atoms (fractional coordinates):
Pm: 0.255 0.499 0.998
Pm: 0.916 0.720 0.335
Pm: 0.745 0.501 0.002
Pm: 0.335 0.779 0.665
Pm: 0.665 0.221 0.335
Pm: 0.500 0.000 0.000
Pm: 0.084 0.280 0.665
Tm: 0.587 0.278 0.667
Tm: 0.836 0.780 0.664
Tm: 0.413 0.722 0.333
Tm: 0.164 0.220 0.336
Ho: 0.000 0.000 0.000

TcAs2Os | PBE-GGA | relaxed

Computed properties:
E_form ... 488 meV per atom
Polymorph energy (0 for the lowest one) ... 44.4 kJ per mole of atoms

Cell: 5.617 5.617 6.650 Å, 65.02 65.02 90.00°
Atoms (fractional coordinates):
Tc: 0.250 0.750 0.500
Tc: 0.500 0.500 0.000
As: 0.120 0.625 0.250
As: 0.375 0.370 0.750
As: 0.875 0.880 0.750
As: 0.630 0.125 0.250
Os: 0.000 0.000 0.000
Os: 0.750 0.250 0.500

AgAuO2 | PBE-GGA | relaxed

Computed properties:
Uncorrected formation energy ... 195.9 kJ/mol of formula units

Cell: 4.154 4.154 4.154 Å, 60.00 60.00 60.00°
Last column: magnetic moment on the atom in μB.
Atoms (fractional coordinates):
O: 0.750 0.750 0.750  0.64
O: 0.250 0.250 0.250  0.64
Au: 0.500 0.500 0.500  0.43
Ag: 0.000 0.000 0.000  0.19

CePmSmN3 | PBE-GGA | relaxed

Computed properties:
Uncorrected formation energy ... -747.0 kJ/mol of formula units

Cell: 3.491 6.131 9.413 Å, 82.79 90.00 90.00°
Last column: magnetic moment on the atom in μB.
Atoms (fractional coordinates):
N: 0.250 0.527 0.843  -0.02
N: 0.250 0.030 0.829  -0.02
N: 0.250 0.719 0.521  -0.03
N: 0.750 0.970 0.171  -0.02
N: 0.750 0.281 0.479  -0.03
N: 0.750 0.473 0.157  -0.02
Sm: 0.250 0.738 0.052  0.08
Sm: 0.750 0.262 0.948  0.08
Ce: 0.250 0.324 0.634  0.51
Ce: 0.750 0.676 0.366  0.51
Pm: 0.750 0.796 0.722  0.09
Pm: 0.250 0.204 0.278  0.09

KTcPt2 | PBE-GGA | relaxed

Computed properties:
E_form ... 374 meV per atom
Polymorph energy (0 for the lowest one) ... 28.2 kJ per mole of atoms

Cell: 2.720 4.124 7.491 Å, 90.00 90.00 90.00°
Atoms (fractional coordinates):
Tc: 0.000 0.000 0.402
Pt: 0.500 0.500 0.272
Pt: 0.000 0.000 0.063
K: 0.500 0.500 0.763

Rb3Np5Cl12 | PBE-GGA | relaxed

Computed properties:
Uncorrected formation energy ... -2483.0 kJ/mol of formula units

Cell: 15.321 15.321 15.321 Å, 109.47 109.47 109.47°
Last column: magnetic moment on the atom in μB.
Atoms (fractional coordinates):
Np: 0.750 0.125 0.875  4.65
Np: 0.875 0.250 0.625  4.65
Np: 0.500 0.500 0.000  4.56
Np: 0.625 0.875 0.250  4.65
Np: 0.500 0.000 0.500  4.56
Np: 0.500 0.500 0.500  4.56
Np: 0.375 0.250 0.125  4.65
Np: 0.500 0.000 0.000  4.56
Np: 0.750 0.625 0.375  4.65
Np: 0.375 0.125 0.750  4.65
Np: 0.000 0.000 0.000  4.56
Np: 0.250 0.375 0.625  4.65
Np: 0.875 0.625 0.750  4.65
Np: 0.000 0.000 0.500  4.56
Np: 0.250 0.875 0.125  4.65
Np: 0.625 0.750 0.875  4.65
Np: 0.125 0.750 0.375  4.65
Np: 0.000 0.500 0.500  4.56
Np: 0.000 0.500 0.000  4.56
Np: 0.125 0.375 0.250  4.65
Cl: 0.381 0.967 0.794  -0.03
Cl: 0.174 0.087 0.706  -0.03
Cl: 0.294 0.881 0.967  -0.03
Cl: 0.119 0.413 0.086  -0.03
Cl: 0.619 0.033 0.206  -0.03
Cl: 0.381 0.414 0.087  -0.03
Cl: 0.326 0.533 0.414  -0.03
Cl: 0.587 0.881 0.414  -0.03
Cl: 0.467 0.794 0.881  -0.03
Cl: 0.881 0.294 0.467  -0.03
Cl: 0.674 0.206 0.587  -0.03
Cl: 0.826 0.913 0.294  -0.03
Cl: 0.586 0.619 0.413  -0.03
Cl: 0.206 0.674 0.087  -0.03
Cl: 0.619 0.586 0.913  -0.03
Cl: 0.119 0.706 0.533  -0.03
Cl: 0.794 0.467 0.381  -0.03
Cl: 0.174 0.086 0.967  -0.03
Cl: 0.794 0.326 0.913  -0.03
Cl: 0.533 0.206 0.119  -0.03
Cl: 0.587 0.706 0.674  -0.03
Cl: 0.033 0.619 0.706  -0.03
Cl: 0.913 0.826 0.794  -0.03
Cl: 0.586 0.967 0.674  -0.03
Cl: 0.413 0.119 0.586  -0.03
Cl: 0.881 0.587 0.914  -0.03
Cl: 0.206 0.533 0.619  -0.03
Cl: 0.087 0.914 0.381  -0.03
Cl: 0.914 0.087 0.881  -0.03
Cl: 0.913 0.086 0.619  -0.03
Cl: 0.033 0.414 0.826  -0.03
Cl: 0.967 0.586 0.174  -0.03
Cl: 0.086 0.913 0.119  -0.03
Cl: 0.706 0.119 0.033  -0.03
Cl: 0.414 0.033 0.326  -0.03
Cl: 0.087 0.174 0.206  -0.03
Cl: 0.674 0.467 0.586  -0.03
Cl: 0.706 0.587 0.174  -0.03
Cl: 0.294 0.413 0.826  -0.03
Cl: 0.467 0.674 0.086  -0.03
Cl: 0.413 0.294 0.326  -0.03
Cl: 0.414 0.381 0.587  -0.03
Cl: 0.326 0.794 0.413  -0.03
Cl: 0.533 0.326 0.914  -0.03
Cl: 0.826 0.914 0.033  -0.03
Cl: 0.914 0.826 0.533  -0.03
Cl: 0.967 0.381 0.294  -0.03
Cl: 0.086 0.174 0.467  -0.03
Rb: 0.125 0.250 0.875  0.01
Rb: 0.250 0.625 0.875  0.01
Rb: 0.625 0.375 0.750  0.01
Rb: 0.750 0.375 0.125  0.01
Rb: 0.375 0.750 0.625  0.01
Rb: 0.250 0.125 0.375  0.01
Rb: 0.375 0.625 0.250  0.01
Rb: 0.875 0.750 0.125  0.01
Rb: 0.625 0.250 0.375  0.01
Rb: 0.875 0.125 0.250  0.01
Rb: 0.125 0.875 0.750  0.01
Rb: 0.750 0.875 0.625  0.01

ScInCl3 | PBE-GGA | relaxed

Computed properties:
Uncorrected formation energy ... -671.7 kJ/mol of formula units

Cell: 5.117 5.117 5.117 Å, 90.00 90.00 90.00°
Last column: magnetic moment on the atom in μB.
Atoms (fractional coordinates):
Sc: 0.000 0.000 0.000  0.62
In: 0.500 0.500 0.500  0.03
Cl: 0.500 0.000 0.000  -0.01
Cl: 0.000 0.000 0.500  -0.01
Cl: 0.000 0.500 0.000  -0.01

LiZrAl2 | PBE-GGA | relaxed

Computed properties:
E_form ... -96 meV per atom

Cell: 3.113 3.113 7.303 Å, 90.00 90.00 91.13°
Atoms (fractional coordinates):
Zr: 0.500 0.500 0.760
Al: 0.500 0.500 0.258
Al: 0.000 0.000 0.022
Li: 0.000 0.000 0.460

Re4Ge | PBE-GGA | relaxed

Computed properties:
E_form ... 1925 meV per atom

Cell: 4.449 4.449 4.449 Å, 90.00 90.00 90.00°
Last column: magnetic moment on the atom in μB.
Atoms (fractional coordinates):
Ge: 0.500 0.500 0.500  0.00
Re: 0.000 0.500 0.500  -0.06
Re: 0.500 0.000 0.500  -0.06
Re: 0.000 0.000 0.000  0.62
Re: 0.500 0.500 0.000  -0.06

Y2Al4ZnPt3 | PBE-GGA | relaxed

Computed properties:
E_form ... -976 meV per atom

Cell: 4.181 4.181 10.666 Å, 90.00 90.00 90.00°
Atoms (fractional coordinates):
Y: 0.500 0.000 0.248
Y: 0.000 0.500 0.752
Al: 0.500 0.500 0.000
Al: 0.000 0.000 0.000
Al: 0.500 0.000 0.634
Al: 0.000 0.500 0.366
Zn: 0.500 0.500 0.500
Pt: 0.000 0.000 0.500
Pt: 0.000 0.500 0.135
Pt: 0.500 0.000 0.865

SiBPd2 | PBE-GGA | relaxed

Computed properties:
Uncorrected formation energy ... 73.8 kJ/mol of formula units
Polymorph energy (0 for the lowest one) ... 4.5 kJ per mole of atoms

Cell: 4.137 4.137 4.137 Å, 60.00 60.00 60.00°
Atoms (fractional coordinates):
Si: 0.500 0.500 0.500
Pd: 0.250 0.250 0.250
Pd: 0.750 0.750 0.750
B: 0.000 0.000 0.000

TaRhN2F | PBE-GGA | relaxed

Computed properties:
Uncorrected formation energy ... 393.8 kJ/mol of formula units
Polymorph energy (0 for the lowest one) ... 89.2 kJ per mole of atoms

Cell: 3.942 3.942 3.838 Å, 90.00 90.00 90.00°
Atoms (fractional coordinates):
N: 0.500 0.000 0.000
N: 0.000 0.500 0.000
Rh: 0.000 0.000 0.000
Ta: 0.500 0.500 0.500
F: 0.000 0.000 0.500